Record 1
Density functional theory data (PBE-GGA) for a relaxed SrMg3CdIn crystal.

abc: 6.612 7.204 8.025
angles: 116.67 90.00 90.00
Positions (direct):
Sr1 0.750 0.292 0.584
Sr2 0.250 0.708 0.416
Mg1 0.250 0.136 0.271
Mg2 0.000 0.295 0.000
Mg3 0.500 0.705 0.000
Mg4 0.500 0.295 0.000
Mg5 0.000 0.705 0.000
Mg6 0.750 0.864 0.729
Cd1 0.250 0.929 0.858
Cd2 0.750 0.071 0.142
In1 0.250 0.352 0.704
In2 0.750 0.648 0.296

Output
N(E_F)	2.36	states/eV/f.u.
VASP energy	-1.78	eV/atom
calculated volume	28.466	A^3/atom
total magnetic moment	0.000	μB/cell
space group	Cmcm (63)
formation energy from the elements	-0.097	eV per atom
density	3.77	g/cm³



Record 2
Density functional theory data (PBE-GGA) for a relaxed PPtSe2 crystal.

abc: 7.636 7.636 7.636
angles: 26.75 26.75 26.75
Positions (direct):
P1 0.512 0.512 0.512
Pt1 0.241 0.241 0.241
Se1 0.976 0.976 0.976
Se2 0.770 0.770 0.770

Output
N(E_F)	1.91	states/eV/f.u.
VASP energy	-4.63	eV/atom
calculated volume	19.880	A^3/atom
total magnetic moment	0.000	μB/cell
space group	R3m (160)
density	8.02	g/cm³



Record 3
Density functional theory data (PBE-GGA) for a relaxed Nd2Dy5Th crystal.

abc: 5.091 7.146 14.319
angles: 90.00 90.00 90.00
Positions (direct):
Nd1 0.500 0.249 0.623
Nd2 0.500 0.751 0.377
Nd3 0.500 0.251 0.123
Nd4 0.500 0.749 0.877
Dy1 0.000 0.000 0.000
Dy2 0.000 0.500 0.500
Dy3 0.000 0.506 0.751
Dy4 0.000 0.494 0.249
Dy5 0.000 0.994 0.251
Dy6 0.000 0.006 0.749
Dy7 0.500 0.259 0.877
Dy8 0.500 0.741 0.123
Dy9 0.500 0.241 0.377
Dy10 0.500 0.759 0.623
Th1 0.000 0.000 0.500
Th2 0.000 0.500 0.000

Output
N(E_F)	11.31	states/eV/f.u.
VASP energy	-4.97	eV/atom
calculated volume	32.557	A^3/atom
total magnetic moment	0.000	μB/cell
space group	Pbam (55)
formation energy from the elements	0.029	eV per atom
density	8.50	g/cm³



Record 4
Density functional theory data (PBE-GGA) for a relaxed LiY2Ni2 crystal.

abc: 5.203 5.203 5.354
angles: 60.93 60.93 90.00
Positions (direct):
Y1 0.750 0.250 0.500
Y2 0.250 0.750 0.500
Ni1 0.351 0.351 0.299
Ni2 0.649 0.649 0.701
Li1 0.000 0.000 0.000

Output
N(E_F)	3.20	states/eV/f.u.
VASP energy	-5.39	eV/atom
calculated volume	21.056	A^3/atom
total magnetic moment	0.000	μB/cell
space group	I4/mmm (139)
energy relative to the lowest polymorph listed for this composition	187	meV per atom
formation energy from the elements	-0.106	eV per atom
density	4.77	g/cm³



Record 5
Density functional theory data (PBE-GGA) for a relaxed CePuS crystal.

abc: 5.269 3.712 3.712
angles: 120.00 90.00 90.00
Positions (direct):
S1 0.655 0.333 0.667
Ce1 0.013 0.000 0.000
Pu1 0.332 0.667 0.333

Output
N(E_F)	4.63	states/eV/f.u.
VASP energy	-9.15	eV/atom
calculated volume	20.965	A^3/atom
total magnetic moment	5.378	μB/cell
space group	P3m1 (156)
energy relative to the lowest polymorph listed for this composition	0	meV per atom
density	10.99	g/cm³



Record 6
Density functional theory data (PBE-GGA) for a relaxed ScBe2SiPt crystal.

abc: 3.821 3.421 5.797
angles: 107.16 109.24 90.00
Positions (direct):
Sc1 0.451 0.451 0.903
Be1 0.674 0.174 0.347
Be2 0.052 0.052 0.103
Si1 0.839 0.839 0.679
Pt1 0.196 0.696 0.392

Output
N(E_F)	2.20	states/eV/f.u.
VASP energy	-5.69	eV/atom
calculated volume	13.592	A^3/atom
total magnetic moment	0.000	μB/cell
space group	Imm2 (44)
energy relative to the lowest polymorph listed for this composition	0	meV per atom
density	6.99	g/cm³



Question: What is the density in the fourth record?
Answer: 4.77 g/cm³